No. 1
16
Lattice="0.000 5.989 11.933 3.318 0.000 11.933 3.318 5.989 0.000" Properties=species:S:1:pos:R:3 comment="Tl2PPdSe4 | the Alexandria database | PBE-GGA | relaxed" formation_energy_uncorrected_ev_per_atom=-0.1639 vol_a3_per_cell=474.2 final_energy_ev_per_atom=-3.823 dos_ef_per_ev_cell=9.4 pbc="T T T"
Tl 2.488 4.492 1.566
Tl 4.147 7.486 7.532
Tl 2.488 4.492 16.333
Tl 4.147 7.486 22.300
P 2.488 4.492 8.950
P 4.147 7.486 14.916
Pd 0.829 1.497 2.983
Pd 5.806 10.481 20.882
Se 3.876 3.266 7.703
Se 3.876 5.718 10.196
Se 5.535 6.260 16.163
Se 5.535 8.712 13.669
Se 1.101 3.266 10.196
Se 1.101 5.718 7.703
Se 2.760 6.260 13.669
Se 2.760 8.712 16.163

***

No. 2
8
Lattice="6.998 0.000 0.000 0.000 3.957 0.000 -2.242 0.000 6.640" Properties=species:S:1:pos:R:3 comment="Tm4PPdSe2 | the Alexandria database | PBE-GGA | relaxed" formation_energy_uncorrected_ev_per_atom=-1.4467 vol_a3_per_cell=183.9 final_energy_ev_per_atom=-5.879 dos_ef_per_ev_cell=4.6 pbc="T T T"
Tm 1.151 0.000 1.543
Tm 0.048 1.979 5.085
Tm 4.708 1.979 1.555
Tm 3.605 0.000 5.096
P 0.000 1.979 0.000
Pd 3.499 0.000 0.000
Se -1.121 0.000 3.320
Se 2.378 1.979 3.320

***

No. 3
5
Lattice="4.566 0.000 0.000 0.000 4.566 0.000 0.000 0.000 4.894" Properties=species:S:1:pos:R:3 comment="PPd2WSe | the Alexandria database | PBE-GGA | relaxed" formation_energy_uncorrected_ev_per_atom=1.2976 vol_a3_per_cell=102.1 final_energy_ev_per_atom=-5.149 dos_ef_per_ev_cell=3.9 pbc="T T T"
P 0.000 0.000 0.000
Pd 0.000 2.283 2.447
Pd 2.283 0.000 2.447
W 2.283 2.283 0.000
Se 0.000 0.000 2.447

***

No. 4
12
Lattice="8.907 -2.016 0.000 8.907 2.016 0.000 -1.947 0.000 7.981" Properties=species:S:1:pos:R:3 comment="Y6P2PdSe3 | the Alexandria database | PBE-GGA | relaxed" formation_energy_uncorrected_ev_per_atom=-1.6012 vol_a3_per_cell=286.7 final_energy_ev_per_atom=-7.039 dos_ef_per_ev_cell=6.5 pbc="T T T"
Y -0.391 0.000 1.968
Y 5.013 0.000 3.414
Y 4.174 0.000 7.197
Y 11.694 0.000 0.784
Y 10.854 0.000 4.566
Y 16.259 0.000 6.013
P 2.325 0.000 2.671
P 13.543 0.000 5.310
Pd 8.907 0.000 0.000
Se 1.352 0.000 6.641
Se 7.934 0.000 3.990
Se 14.516 0.000 1.340

***

No. 5
12
Lattice="4.017 -3.986 0.000 4.017 3.986 0.000 -3.991 0.000 5.875" Properties=species:S:1:pos:R:3 comment="SiPPd4 | the Alexandria database | PBE-GGA | relaxed" formation_energy_uncorrected_ev_per_atom=-0.5160 vol_a3_per_cell=188.1 final_energy_ev_per_atom=-5.783 dos_ef_per_ev_cell=6.9 pbc="T T T"
Si 1.023 2.992 4.407
Si 3.019 -2.992 1.469
P 3.019 1.000 1.469
P 1.023 -1.000 4.407
Pd 1.012 0.998 0.009
Pd 1.021 0.995 2.934
Pd -0.984 -0.998 2.946
Pd -0.975 -0.995 5.872
Pd 5.017 0.995 0.004
Pd 5.026 0.998 2.929
Pd 3.021 -0.995 2.941
Pd 3.030 -0.998 5.867

***

No. 6
6
Lattice="3.521 0.000 0.000 -0.008 5.772 0.000 -1.757 -2.861 5.262" Properties=species:S:1:pos:R:3 comment="SiPPd | the Alexandria database | PBE-GGA | relaxed" formation_energy_uncorrected_ev_per_atom=-0.3251 vol_a3_per_cell=106.9 final_energy_ev_per_atom=-5.667 dos_ef_per_ev_cell=0.6 pbc="T T T"
Si -0.001 -0.236 1.916
Si 1.757 3.147 3.346
P -0.004 3.041 1.925
P 1.760 -0.130 3.336
Pd -0.003 1.397 0.207
Pd 1.758 1.513 5.055

***

No. 7
5
Lattice="4.435 0.000 0.000 0.000 4.435 0.000 0.000 0.000 4.435" Properties=species:S:1:pos:R:3 comment="SiP3Pd | the Alexandria database | PBE-GGA | relaxed" formation_energy_uncorrected_ev_per_atom=0.7583 vol_a3_per_cell=87.2 final_energy_ev_per_atom=-4.611 dos_ef_per_ev_cell=3.1 pbc="T T T"
Si 0.000 0.000 0.000
P 0.000 0.000 2.218
P 0.000 2.218 0.000
P 2.218 0.000 0.000
Pd 2.218 2.218 2.218

***

No. 8
11
Lattice="3.619 -5.298 0.000 3.619 5.298 0.000 -1.313 0.000 4.304" Properties=species:S:1:pos:R:3 comment="SiP2Pd8 | the Alexandria database | PBE-GGA | relaxed" formation_energy_uncorrected_ev_per_atom=-0.4627 vol_a3_per_cell=165.0 final_energy_ev_per_atom=-5.716 dos_ef_per_ev_cell=5.2 pbc="T T T"
Si 0.000 0.000 0.000
P 3.097 1.913 1.681
P 3.097 -1.913 1.681
Pd 0.808 1.369 2.074
Pd 2.427 2.896 3.810
Pd 0.808 -1.369 2.074
Pd 2.554 0.000 0.273
Pd 3.665 0.000 3.055
Pd 5.389 1.384 1.228
Pd 2.427 -2.896 3.810
Pd 5.389 -1.384 1.228

***

No. 9
10
Lattice="7.347 0.000 0.000 0.000 7.347 0.000 0.000 0.000 2.819" Properties=species:S:1:pos:R:3 comment="Si2PPd2 | the Alexandria database | PBE-GGA | relaxed" formation_energy_uncorrected_ev_per_atom=-0.0204 vol_a3_per_cell=152.2 final_energy_ev_per_atom=-5.349 dos_ef_per_ev_cell=4.4 pbc="T T T"
Si 1.163 2.511 0.000
Si 2.511 6.184 0.000
Si 4.837 1.163 0.000
Si 6.184 4.837 0.000
P 0.000 0.000 1.410
P 3.674 3.674 1.410
Pd 1.013 4.687 1.410
Pd 2.660 1.013 1.410
Pd 4.687 6.334 1.410
Pd 6.334 2.660 1.410

***

No. 10
16
Lattice="5.592 0.000 0.000 0.000 5.592 0.000 0.000 0.000 10.090" Properties=species:S:1:pos:R:3 comment="SiPPd2 | the Alexandria database | PBE-GGA | relaxed" formation_energy_uncorrected_ev_per_atom=-0.0722 vol_a3_per_cell=315.5 final_energy_ev_per_atom=-5.377 dos_ef_per_ev_cell=8.5 pbc="T T T"
Si 0.000 0.000 0.000
Si 0.000 2.796 2.522
Si 2.796 0.000 7.567
Si 2.796 2.796 5.045
P 0.000 0.000 5.045
P 0.000 2.796 7.567
P 2.796 0.000 2.522
P 2.796 2.796 0.000
Pd 1.351 1.398 6.306
Pd 1.398 4.148 8.829
Pd 1.398 4.241 3.784
Pd 1.445 1.398 1.261
Pd 4.148 4.194 1.261
Pd 4.194 1.351 3.784
Pd 4.194 1.445 8.829
Pd 4.241 4.194 6.306

***

No. 11
5
Lattice="4.496 0.000 0.000 0.000 4.496 0.000 0.000 0.000 4.496" Properties=species:S:1:pos:R:3 comment="SiPPd3 | the Alexandria database | PBE-GGA | relaxed" formation_energy_uncorrected_ev_per_atom=0.0711 vol_a3_per_cell=90.9 final_energy_ev_per_atom=-5.211 dos_ef_per_ev_cell=1.7 pbc="T T T"
Si 0.000 0.000 0.000
P 2.248 2.248 2.248
Pd 0.000 2.248 2.248
Pd 2.248 0.000 2.248
Pd 2.248 2.248 0.000

***

No. 12
5
Lattice="4.643 0.000 0.000 0.000 4.643 0.000 0.000 0.000 4.643" Properties=species:S:1:pos:R:3 comment="Si3PPd | the Alexandria database | PBE-GGA | relaxed" formation_energy_uncorrected_ev_per_atom=0.7328 vol_a3_per_cell=100.1 final_energy_ev_per_atom=-4.642 dos_ef_per_ev_cell=2.0 pbc="T T T"
Si 0.000 0.000 2.321
Si 0.000 2.321 0.000
Si 2.321 0.000 0.000
P 2.321 2.321 2.321
Pd 0.000 0.000 0.000

***

Copy entry 12 word for word.
5
Lattice="4.643 0.000 0.000 0.000 4.643 0.000 0.000 0.000 4.643" Properties=species:S:1:pos:R:3 comment="Si3PPd | the Alexandria database | PBE-GGA | relaxed" formation_energy_uncorrected_ev_per_atom=0.7328 vol_a3_per_cell=100.1 final_energy_ev_per_atom=-4.642 dos_ef_per_ev_cell=2.0 pbc="T T T"
Si 0.000 0.000 2.321
Si 0.000 2.321 0.000
Si 2.321 0.000 0.000
P 2.321 2.321 2.321
Pd 0.000 0.000 0.000